meta-GGA SCAN Nb2GaC, PBEsol geometry; ΔE_f = -0.5530 eV/atom; space-group type = P6_3/mmc (194); magnetic moment = 0.0 μB per formula unit; uncorrected energy = -23.73 eV per atom
1.0
-2.599 -1.738 -0.118
2.140 -0.230 -2.271
6.242 -9.801 6.877
Nb C Ga
4 2 2
Direct
0.333 0.667 0.090
0.667 0.333 0.590
0.667 0.333 0.910
0.333 0.667 0.410
0.000 0.000 0.000
0.000 0.000 0.500
0.333 0.667 0.750
0.667 0.333 0.250